No. 1
{
  "formula": "Cd2AsOs",
  "functional": "PBE",
  "state": "optimized geometry",
  "lattice_angstrom": [[10.475, 0.000, 0.000], [0.000, 10.475, 0.000], [5.237, 5.237, 2.302]],
  "species": ["As", "As", "Os", "Os", "Cd", "Cd", "Cd", "Cd"],
  "frac_coords": [[0.500, 0.500, 0.000], [0.250, 0.750, 0.500], [0.000, 0.000, 0.000], [0.750, 0.250, 0.500], [0.874, 0.125, 0.250], [0.876, 0.625, 0.250], [0.375, 0.126, 0.750], [0.875, 0.124, 0.750]],
  "vol_a3_per_atom": 31.58,
  "space_group": "I-42d (122)",
  "e_form_kj_per_mol_atoms": 33,
  "dos_at_fermi_per_ev_fu": 1.235
}

=====

No. 2
{
  "formula": "Cd2AsOs",
  "functional": "PBE",
  "state": "optimized geometry",
  "lattice_angstrom": [[-1.513, 3.212, -3.627], [2.124, -1.426, -4.384], [-2.644, -2.635, 3.439]],
  "species": ["As", "Os", "Cd", "Cd"],
  "frac_coords": [[0.750, 0.250, 0.500], [0.500, 0.500, 0.000], [0.000, 0.000, 0.000], [0.250, 0.750, 0.500]],
  "vol_a3_per_atom": 18.16,
  "space_group": "I-4m2 (119)",
  "e_form_kj_per_mol_atoms": 56,
  "dos_at_fermi_per_ev_fu": 3.524
}

=====

No. 3
{
  "formula": "CdAsOs2",
  "functional": "PBE",
  "state": "optimized geometry",
  "lattice_angstrom": [[-1.412, -4.004, 3.257], [1.958, -4.825, -1.228], [0.975, 5.058, 1.449]],
  "species": ["As", "Os", "Os", "Cd"],
  "frac_coords": [[0.750, 0.250, 0.500], [0.969, 0.969, 0.000], [0.531, 0.531, 0.000], [0.250, 0.750, 0.500]],
  "vol_a3_per_atom": 16.20,
  "space_group": "Immm (71)",
  "polymorph_energy_mev_per_atom": 344,
  "e_form_kj_per_mol_atoms": 60,
  "dos_at_fermi_per_ev_fu": 2.886
}